# La3Mn | the Alexandria database | meta-GGA SCAN | single point on PBEsol structure
# Calculated density, Mg/m³: 6.9
# Size of the total moment, μB per cell: 2.936
# VASP energy, eV/f.u.: -147.2
# Calculated formation energy, eV per formula unit: 0.33
# Space group: Immm, No. 71
data_La3Mn
_chemical_formula_sum 'La3 Mn1'
_cell_length_a 3.7190
_cell_length_b 5.5782
_cell_length_c 6.3975
_cell_angle_alpha 115.85
_cell_angle_beta 106.90
_cell_angle_gamma 90.00
_symmetry_space_group_name_H-M 'P 1'
_symmetry_Int_Tables_number 1
_symmetry_space_group_name_Hall 'P 1'
loop_
_atom_site_label
_atom_site_type_symbol
_atom_site_fract_x
_atom_site_fract_y
_atom_site_fract_z
_atom_site_occupancy
La1 La 0.7090 0.7090 0.4181 1
La2 La 0.5000 0.0000 0.0000 1
La3 La 0.2910 0.2910 0.5819 1
Mn1 Mn 0.0000 0.5000 0.0000 1

# TcNiAu2 | the Alexandria database | meta-GGA SCAN | single point on PBEsol structure
# Calculated density, Mg/m³: 15.7
# Size of the total moment, μB per cell: 0.001
# VASP energy, eV/f.u.: -188.5
# Calculated formation energy, eV per formula unit: 1.08
# Space group: Cm, No. 8
data_TcNiAu2
_chemical_formula_sum 'Tc1 Ni1 Au2'
_cell_length_a 2.7009
_cell_length_b 4.7128
_cell_length_c 4.8593
_cell_angle_alpha 99.55
_cell_angle_beta 90.00
_cell_angle_gamma 106.65
_symmetry_space_group_name_H-M 'P 1'
_symmetry_Int_Tables_number 1
_symmetry_space_group_name_Hall 'P 1'
loop_
_atom_site_label
_atom_site_type_symbol
_atom_site_fract_x
_atom_site_fract_y
_atom_site_fract_z
_atom_site_occupancy
Au1 Au 0.9951 0.9901 0.9874 1
Au2 Au 0.7582 0.5164 0.2607 1
Ni1 Ni 0.5080 0.0161 0.5181 1
Tc1 Tc 0.2387 0.4774 0.7338 1

# MnC3 | the Alexandria database | meta-GGA SCAN | single point on PBEsol structure
# Calculated density, Mg/m³: 5.2
# Size of the total moment, μB per cell: 2.036
# VASP energy, eV/f.u.: -39.5
# Calculated formation energy, eV per formula unit: 9.05
# Space group: R-3m, No. 166
# Energy above the most stable polymorph in this dataset, meV/atom: 275
data_MnC3
_chemical_formula_sum 'Mn1 C3'
_cell_length_a 2.8491
_cell_length_b 3.5680
_cell_length_c 3.5680
_cell_angle_alpha 113.19
_cell_angle_beta 105.44
_cell_angle_gamma 105.44
_symmetry_space_group_name_H-M 'P 1'
_symmetry_Int_Tables_number 1
_symmetry_space_group_name_Hall 'P 1'
loop_
_atom_site_label
_atom_site_type_symbol
_atom_site_fract_x
_atom_site_fract_y
_atom_site_fract_z
_atom_site_occupancy
C1 C 0.5000 0.5000 0.5000 1
C2 C 0.0000 0.5000 0.0000 1
C3 C 0.0000 0.0000 0.5000 1
Mn1 Mn 0.5000 0.0000 0.0000 1

# Ba2CaTa | the Alexandria database | meta-GGA SCAN | single point on PBEsol structure
# Calculated density, Mg/m³: 5.9
# Size of the total moment, μB per cell: 0.437
# VASP energy, eV/f.u.: -151.9
# Calculated formation energy, eV per formula unit: 3.44
# Space group: P4mm, No. 99
data_Ba2CaTa
_chemical_formula_sum 'Ba2 Ca1 Ta1'
_cell_length_a 3.4440
_cell_length_b 3.4440
_cell_length_c 11.6995
_cell_angle_alpha 90.00
_cell_angle_beta 90.00
_cell_angle_gamma 90.00
_symmetry_space_group_name_H-M 'P 1'
_symmetry_Int_Tables_number 1
_symmetry_space_group_name_Hall 'P 1'
loop_
_atom_site_label
_atom_site_type_symbol
_atom_site_fract_x
_atom_site_fract_y
_atom_site_fract_z
_atom_site_occupancy
Ca1 Ca 0.0000 0.0000 0.5534 1
Ba1 Ba 0.0000 0.0000 0.9491 1
Ba2 Ba 0.5000 0.5000 0.2590 1
Ta1 Ta 0.5000 0.5000 0.7385 1

# Er2Co3Ge5 | the Alexandria database | meta-GGA SCAN | single point on PBEsol structure
# Calculated density, Mg/m³: 9.4
# Size of the total moment, μB per cell: 1.754
# VASP energy, eV/f.u.: -254.0
# Calculated formation energy, eV per formula unit: -6.01
# Space group: C2/c, No. 15
data_Er2Co3Ge5
_chemical_formula_sum 'Er4 Co6 Ge10'
_cell_length_a 5.6051
_cell_length_b 7.9395
_cell_length_c 7.9395
_cell_angle_alpha 94.15
_cell_angle_beta 109.29
_cell_angle_gamma 109.29
_symmetry_space_group_name_H-M 'P 1'
_symmetry_Int_Tables_number 1
_symmetry_space_group_name_Hall 'P 1'
loop_
_atom_site_label
_atom_site_type_symbol
_atom_site_fract_x
_atom_site_fract_y
_atom_site_fract_z
_atom_site_occupancy
Er1 Er 0.2673 0.1269 0.4094 1
Er2 Er 0.7673 0.4094 0.1269 1
Er3 Er 0.7327 0.8731 0.5906 1
Er4 Er 0.2327 0.5906 0.8731 1
Co1 Co 0.2500 0.9966 0.0034 1
Co2 Co 0.7500 0.0034 0.9966 1
Co3 Co 0.6223 0.4547 0.7364 1
Co4 Co 0.1223 0.7364 0.4547 1
Co5 Co 0.3777 0.5453 0.2636 1
Co6 Co 0.8777 0.2636 0.5453 1
Ge1 Ge 0.6752 0.0814 0.2626 1
Ge2 Ge 0.8248 0.7374 0.9186 1
Ge3 Ge 0.3248 0.9186 0.7374 1
Ge4 Ge 0.1752 0.2626 0.0814 1
Ge5 Ge 0.2500 0.7886 0.2114 1
Ge6 Ge 0.7500 0.2114 0.7886 1
Ge7 Ge 0.2500 0.4890 0.5110 1
Ge8 Ge 0.7500 0.5110 0.4890 1
Ge9 Ge 0.2500 0.2266 0.7734 1
Ge10 Ge 0.7500 0.7734 0.2266 1

# LaCuAs2Br | the Alexandria database | meta-GGA SCAN | single point on PBEsol structure
# E_form (uncorrected), eV/atom: 0.4736
# Calculated density, Mg/m³: 4.0
# Size of the total moment, μB per cell: 1.027
# VASP energy, eV/f.u.: -115.8
# Space group: P4/mmm, No. 123
# Energy above the most stable polymorph in this dataset, meV/atom: 1058
data_LaCuAs2Br
_chemical_formula_sum 'La1 Cu1 As2 Br1'
_cell_length_a 5.6155
_cell_length_b 5.6671
_cell_length_c 5.6671
_cell_angle_alpha 90.00
_cell_angle_beta 90.00
_cell_angle_gamma 90.00
_symmetry_space_group_name_H-M 'P 1'
_symmetry_Int_Tables_number 1
_symmetry_space_group_name_Hall 'P 1'
loop_
_atom_site_label
_atom_site_type_symbol
_atom_site_fract_x
_atom_site_fract_y
_atom_site_fract_z
_atom_site_occupancy
As1 As 0.0000 0.0000 0.5000 1
As2 As 0.0000 0.5000 0.0000 1
Cu1 Cu 0.5000 0.5000 0.5000 1
Br1 Br 0.5000 0.0000 0.0000 1
La1 La 0.0000 0.0000 0.0000 1

# Nb3TlH | the Alexandria database | meta-GGA SCAN | single point on PBEsol structure
# Calculated density, Mg/m³: 6.0
# Size of the total moment, μB per cell: 1.449
# VASP energy, eV/f.u.: -161.3
# Space group: Pm-3m, No. 221
data_Nb3TlH
_chemical_formula_sum 'Nb3 Tl1 H1'
_cell_length_a 5.1051
_cell_length_b 5.1051
_cell_length_c 5.1051
_cell_angle_alpha 90.00
_cell_angle_beta 90.00
_cell_angle_gamma 90.00
_symmetry_space_group_name_H-M 'P 1'
_symmetry_Int_Tables_number 1
_symmetry_space_group_name_Hall 'P 1'
loop_
_atom_site_label
_atom_site_type_symbol
_atom_site_fract_x
_atom_site_fract_y
_atom_site_fract_z
_atom_site_occupancy
H1 H 0.5000 0.5000 0.5000 1
Tl1 Tl 0.0000 0.0000 0.0000 1
Nb1 Nb 0.0000 0.5000 0.0000 1
Nb2 Nb 0.0000 0.0000 0.5000 1
Nb3 Nb 0.5000 0.0000 0.0000 1

# LiCo3Ru | the Alexandria database | meta-GGA SCAN | single point on PBEsol structure
# Calculated density, Mg/m³: 8.6
# Size of the total moment, μB per cell: 6.658
# VASP energy, eV/f.u.: -84.3
# Calculated formation energy, eV per formula unit: 4.80
# Space group: Pm-3m, No. 221
data_LiCo3Ru
_chemical_formula_sum 'Li1 Co3 Ru1'
_cell_length_a 3.8006
_cell_length_b 3.8006
_cell_length_c 3.8006
_cell_angle_alpha 90.00
_cell_angle_beta 90.00
_cell_angle_gamma 90.00
_symmetry_space_group_name_H-M 'P 1'
_symmetry_Int_Tables_number 1
_symmetry_space_group_name_Hall 'P 1'
loop_
_atom_site_label
_atom_site_type_symbol
_atom_site_fract_x
_atom_site_fract_y
_atom_site_fract_z
_atom_site_occupancy
Ru1 Ru 0.5000 0.5000 0.5000 1
Co1 Co 0.0000 0.5000 0.0000 1
Co2 Co 0.0000 0.0000 0.5000 1
Co3 Co 0.5000 0.0000 0.0000 1
Li1 Li 0.0000 0.0000 0.0000 1

# Cs3AgB | the Alexandria database | meta-GGA SCAN | single point on PBEsol structure
# Calculated density, Mg/m³: 2.9
# Size of the total moment, μB per cell: 3.000
# VASP energy, eV/f.u.: -147.3
# Calculated formation energy, eV per formula unit: 4.88
# Space group: Pm-3m, No. 221
data_Cs3AgB
_chemical_formula_sum 'Cs3 Ag1 B1'
_cell_length_a 6.6671
_cell_length_b 6.6671
_cell_length_c 6.6671
_cell_angle_alpha 90.00
_cell_angle_beta 90.00
_cell_angle_gamma 90.00
_symmetry_space_group_name_H-M 'P 1'
_symmetry_Int_Tables_number 1
_symmetry_space_group_name_Hall 'P 1'
loop_
_atom_site_label
_atom_site_type_symbol
_atom_site_fract_x
_atom_site_fract_y
_atom_site_fract_z
_atom_site_occupancy
Cs1 Cs 0.0000 0.5000 0.0000 1
Cs2 Cs 0.0000 0.0000 0.5000 1
Cs3 Cs 0.5000 0.0000 0.0000 1
B1 B 0.5000 0.5000 0.5000 1
Ag1 Ag 0.0000 0.0000 0.0000 1

# Rb3ZnCu | the Alexandria database | meta-GGA SCAN | single point on PBEsol structure
# Calculated density, Mg/m³: 2.4
# Size of the total moment, μB per cell: 1.077
# VASP energy, eV/f.u.: -88.6
# Calculated formation energy, eV per formula unit: 2.30
# Space group: Pm-3m, No. 221
data_Rb3ZnCu
_chemical_formula_sum 'Rb3 Zn1 Cu1'
_cell_length_a 6.4110
_cell_length_b 6.4110
_cell_length_c 6.4110
_cell_angle_alpha 90.00
_cell_angle_beta 90.00
_cell_angle_gamma 90.00
_symmetry_space_group_name_H-M 'P 1'
_symmetry_Int_Tables_number 1
_symmetry_space_group_name_Hall 'P 1'
loop_
_atom_site_label
_atom_site_type_symbol
_atom_site_fract_x
_atom_site_fract_y
_atom_site_fract_z
_atom_site_occupancy
Zn1 Zn 0.5000 0.5000 0.5000 1
Cu1 Cu 0.0000 0.0000 0.0000 1
Rb1 Rb 0.0000 0.5000 0.0000 1
Rb2 Rb 0.0000 0.0000 0.5000 1
Rb3 Rb 0.5000 0.0000 0.0000 1

# TaMnRu2 | the Alexandria database | meta-GGA SCAN | single point on PBEsol structure
# Calculated density, Mg/m³: 13.1
# Size of the total moment, μB per cell: 2.357
# VASP energy, eV/f.u.: -153.9
# Calculated formation energy, eV per formula unit: 0.54
# Space group: R3m, No. 160
# Energy above the most stable polymorph in this dataset, meV/atom: 609
data_TaMnRu2
_chemical_formula_sum 'Ta1 Mn1 Ru2'
_cell_length_a 2.7097
_cell_length_b 2.7097
_cell_length_c 8.8674
_cell_angle_alpha 81.21
_cell_angle_beta 81.21
_cell_angle_gamma 60.00
_symmetry_space_group_name_H-M 'P 1'
_symmetry_Int_Tables_number 1
_symmetry_space_group_name_Hall 'P 1'
loop_
_atom_site_label
_atom_site_type_symbol
_atom_site_fract_x
_atom_site_fract_y
_atom_site_fract_z
_atom_site_occupancy
Mn1 Mn 0.2550 0.2550 0.2349 1
Ru1 Ru 0.9963 0.9963 0.0110 1
Ru2 Ru 0.7468 0.7468 0.7596 1
Ta1 Ta 0.5018 0.5018 0.4946 1

# TaAsSe2S | the Alexandria database | meta-GGA SCAN | single point on PBEsol structure
# E_form (uncorrected), eV/atom: 1.0126
# Calculated density, Mg/m³: 7.5
# Size of the total moment, μB per cell: 1.479
# VASP energy, eV/f.u.: -131.5
# Space group: P4/mmm, No. 123
data_TaAsSe2S
_chemical_formula_sum 'Ta1 As1 Se2 S1'
_cell_length_a 4.6608
_cell_length_b 4.6608
_cell_length_c 4.5527
_cell_angle_alpha 90.00
_cell_angle_beta 90.00
_cell_angle_gamma 90.00
_symmetry_space_group_name_H-M 'P 1'
_symmetry_Int_Tables_number 1
_symmetry_space_group_name_Hall 'P 1'
loop_
_atom_site_label
_atom_site_type_symbol
_atom_site_fract_x
_atom_site_fract_y
_atom_site_fract_z
_atom_site_occupancy
As1 As 0.0000 0.0000 0.5000 1
S1 S 0.0000 0.0000 0.0000 1
Se1 Se 0.0000 0.5000 0.0000 1
Se2 Se 0.5000 0.0000 0.0000 1
Ta1 Ta 0.5000 0.5000 0.5000 1

Question: Among the records above, which one has the lowest size of the total moment?
Answer: TcNiAu2